Record 1
# VHgIO2 | Alexandria via LeMat-Bulk | GGA+U | relaxed
data_VHgIO2
_chemical_formula_sum 'V1 Hg1 I1 O2'
_cell_length_a 4.218
_cell_length_b 4.218
_cell_length_c 6.314
_cell_angle_alpha 90.00
_cell_angle_beta 90.00
_cell_angle_gamma 90.00
_space_group_name_H-M_alt 'P 4/m m m'
_space_group_IT_number 123
_space_group_name_Hall '-P 4 2'
loop_
_atom_site_label
_atom_site_fract_x
_atom_site_fract_y
_atom_site_fract_z
V1 0.000 0.000 0.000
Hg1 0.500 0.500 0.500
I1 0.500 0.500 0.000
O1 0.000 0.500 0.500
# - Uncorrected energy: -3.199 eV/atom
# - Density: 6.07 g/cm3
# - Energy relative to the lowest polymorph listed for this composition: 1.2404 eV/atom



Record 2
# VHgIO6 | Alexandria via LeMat-Bulk | GGA+U | relaxed
data_VHgIO6
_chemical_formula_sum 'V1 Hg1 I1 O6'
_cell_length_a 4.941
_cell_length_b 5.420
_cell_length_c 5.421
_cell_angle_alpha 119.70
_cell_angle_beta 90.52
_cell_angle_gamma 90.02
_space_group_name_H-M_alt 'P 1'
_space_group_IT_number 1
_space_group_name_Hall 'P 1'
loop_
_atom_site_label
_atom_site_fract_x
_atom_site_fract_y
_atom_site_fract_z
V1 0.000 0.000 0.000
Hg1 0.532 0.333 0.667
I1 0.096 0.668 0.334
O1 0.291 0.729 0.069
O2 0.291 0.937 0.664
O3 0.293 0.342 0.278
O4 0.847 0.697 0.729
O5 0.852 0.033 0.305
O6 0.852 0.274 0.966
# - Uncorrected energy: -5.172 eV/atom
# - Density: 6.25 g/cm3



Record 3
# VHgIO2 | Alexandria via LeMat-Bulk | GGA+U | relaxed
data_VHgIO2
_chemical_formula_sum 'V1 Hg1 I1 O2'
_cell_length_a 3.974
_cell_length_b 3.974
_cell_length_c 5.865
_cell_angle_alpha 90.00
_cell_angle_beta 90.00
_cell_angle_gamma 90.00
_space_group_name_H-M_alt 'P 4/m m m'
_space_group_IT_number 123
_space_group_name_Hall '-P 4 2'
loop_
_atom_site_label
_atom_site_fract_x
_atom_site_fract_y
_atom_site_fract_z
V1 0.000 0.000 0.000
Hg1 0.500 0.500 0.500
I1 0.000 0.000 0.500
O1 0.000 0.500 0.000
# - Uncorrected energy: -4.439 eV/atom
# - Density: 7.36 g/cm3
# - Energy relative to the lowest polymorph listed for this composition: 0.0000 eV/atom



Record 4
# VHgI2O | Alexandria via LeMat-Bulk | GGA+U | relaxed
data_VHgI2O
_chemical_formula_sum 'V1 Hg1 I2 O1'
_cell_length_a 5.907
_cell_length_b 5.907
_cell_length_c 3.723
_cell_angle_alpha 90.00
_cell_angle_beta 90.00
_cell_angle_gamma 90.00
_space_group_name_H-M_alt 'P 4/m m m'
_space_group_IT_number 123
_space_group_name_Hall '-P 4 2'
loop_
_atom_site_label
_atom_site_fract_x
_atom_site_fract_y
_atom_site_fract_z
V1 0.000 0.000 0.000
Hg1 0.500 0.500 0.500
I1 0.000 0.500 0.000
O1 0.000 0.000 0.500
# - Uncorrected energy: -3.681 eV/atom
# - Density: 6.67 g/cm3
# - Energy relative to the lowest polymorph listed for this composition: 0.0000 eV/atom



Record 5
# VHgI2O | Alexandria via LeMat-Bulk | GGA+U | relaxed
data_VHgI2O
_chemical_formula_sum 'V1 Hg1 I2 O1'
_cell_length_a 6.023
_cell_length_b 6.023
_cell_length_c 4.073
_cell_angle_alpha 90.00
_cell_angle_beta 90.00
_cell_angle_gamma 90.00
_space_group_name_H-M_alt 'P 4/m m m'
_space_group_IT_number 123
_space_group_name_Hall '-P 4 2'
loop_
_atom_site_label
_atom_site_fract_x
_atom_site_fract_y
_atom_site_fract_z
V1 0.000 0.000 0.000
Hg1 0.500 0.500 0.500
I1 0.000 0.500 0.500
O1 0.500 0.500 0.000
# - Uncorrected energy: -2.696 eV/atom
# - Density: 5.86 g/cm3
# - Energy relative to the lowest polymorph listed for this composition: 0.9844 eV/atom



Record 6
# HgWIO2 | Alexandria via LeMat-Bulk | GGA+U | relaxed
data_HgWIO2
_chemical_formula_sum 'Hg1 W1 I1 O2'
_cell_length_a 4.036
_cell_length_b 4.036
_cell_length_c 7.224
_cell_angle_alpha 90.00
_cell_angle_beta 90.00
_cell_angle_gamma 90.00
_space_group_name_H-M_alt 'P 4/m m m'
_space_group_IT_number 123
_space_group_name_Hall '-P 4 2'
loop_
_atom_site_label
_atom_site_fract_x
_atom_site_fract_y
_atom_site_fract_z
Hg1 0.000 0.000 0.000
W1 0.500 0.500 0.500
I1 0.500 0.500 0.000
O1 0.000 0.500 0.500
# - Uncorrected energy: -4.515 eV/atom
# - Density: 7.67 g/cm3
# - Energy relative to the lowest polymorph listed for this composition: 0.0000 eV/atom